First-principles (SCAN) data for a PBEsol-optimized structure of Pr2Al3Ge4, as listed in Alexandria via LeMat-Bulk.

Properties
VASP energy ... -21.21 eV per atom
Magnetization ... 0.00 μB per formula unit
Theoretical density ... 6.07 g/cm³
V ... 19.84 A^3/atom

a = 5.9704 Å, b = 7.9883 Å, c = 8.0625 Å
α = 90.00°, β = 111.73°, γ = 90.00°
Last column: nearest neighbours and their distance in Å.
Positions (direct):
Pr 0.1147 0.4191 0.2293  8 Ge 3.12-3.20, 4 Al 3.24-3.39
Pr 0.8853 0.5809 0.7707  8 Ge 3.12-3.20, 4 Al 3.24-3.39
Pr 0.3853 0.9191 0.7707  8 Ge 3.12-3.20, 4 Al 3.24-3.39
Pr 0.6147 0.0809 0.2293  8 Ge 3.12-3.20, 4 Al 3.24-3.39
Al 0.0000 0.0000 0.0000  6 Ge 2.59-2.80
Al 0.5000 0.5000 0.0000  6 Ge 2.59-2.80
Al 0.0340 0.2500 0.5680  3 Ge 2.53-2.64
Al 0.4660 0.7500 0.4320  3 Ge 2.53-2.64
Al 0.9660 0.7500 0.4320  3 Ge 2.53-2.64
Al 0.5340 0.2500 0.5680  3 Ge 2.53-2.64
Ge 0.2029 0.2500 0.9058  3 Al 2.53-2.59
Ge 0.2971 0.7500 0.0942  3 Al 2.53-2.59
Ge 0.7971 0.7500 0.0942  3 Al 2.53-2.59
Ge 0.7029 0.2500 0.9058  3 Al 2.53-2.59
Ge 0.1848 0.0514 0.3697  5 Al 2.64-2.87
Ge 0.8152 0.9486 0.6303  5 Al 2.64-2.87
Ge 0.3152 0.5514 0.6303  5 Al 2.64-2.87
Ge 0.6848 0.4486 0.3697  5 Al 2.64-2.87

First-principles (SCAN) data for a PBEsol-optimized structure of Ho2B6Rh, as listed in Alexandria via LeMat-Bulk.

Properties
VASP energy ... -20.33 eV per atom
Magnetization ... 0.00 μB per formula unit
Theoretical density ... 8.86 g/cm³
V ... 10.36 A^3/atom

a = 3.5915 Å, b = 9.0976 Å, c = 11.4143 Å
α = 90.00°, β = 90.00°, γ = 90.00°
Last column: nearest neighbours and their distance in Å.
Positions (direct):
Ho 0.5000 0.3229 0.4134  14 B 2.69-2.77
Ho 0.5000 0.6771 0.5866  14 B 2.69-2.77
Ho 0.5000 0.1771 0.9134  14 B 2.69-2.77
Ho 0.5000 0.8229 0.0866  14 B 2.69-2.77
Ho 0.5000 0.4443 0.1263  12 B 2.57-2.59, 2 Rh 2.84
Ho 0.5000 0.5557 0.8737  12 B 2.57-2.59, 2 Rh 2.84
Ho 0.5000 0.0557 0.6263  12 B 2.57-2.59, 2 Rh 2.84
Ho 0.5000 0.9443 0.3737  12 B 2.57-2.59, 2 Rh 2.84
B 0.0000 0.1105 0.4699  2 B 1.77-1.79
B 0.0000 0.8895 0.5301  2 B 1.77-1.79
B 0.0000 0.3895 0.9699  2 B 1.77-1.79
B 0.0000 0.6105 0.0301  2 B 1.77-1.79
B 0.0000 0.1330 0.3158  3 B 1.73-1.81
B 0.0000 0.8670 0.6842  3 B 1.73-1.81
B 0.0000 0.3670 0.8158  3 B 1.73-1.81
B 0.0000 0.6330 0.1842  3 B 1.73-1.81
B 0.0000 0.0531 0.0661  3 B 1.79
B 0.0000 0.9469 0.9339  3 B 1.79
B 0.0000 0.4469 0.5661  3 B 1.79
B 0.0000 0.5531 0.4339  3 B 1.79
B 0.0000 0.4826 0.2874  3 B 1.79-1.82
B 0.0000 0.5174 0.7126  3 B 1.79-1.82
B 0.0000 0.0174 0.7874  3 B 1.79-1.82
B 0.0000 0.9826 0.2126  3 B 1.79-1.82
B 0.0000 0.2491 0.0796  3 B 1.79-1.82
B 0.0000 0.7509 0.9204  3 B 1.79-1.82
B 0.0000 0.2509 0.5796  3 B 1.79-1.82
B 0.0000 0.7491 0.4204  3 B 1.79-1.82
B 0.0000 0.2938 0.2352  3 B 1.73-1.82
B 0.0000 0.7062 0.7648  3 B 1.73-1.82
B 0.0000 0.2062 0.7352  3 B 1.73-1.82
B 0.0000 0.7938 0.2648  3 B 1.73-1.82
Rh 0.5000 0.1396 0.1792  10 B 2.33-2.38
Rh 0.5000 0.8604 0.8208  10 B 2.33-2.38
Rh 0.5000 0.3604 0.6792  10 B 2.33-2.38
Rh 0.5000 0.6396 0.3208  10 B 2.33-2.38

First-principles (SCAN) data for a PBEsol-optimized structure of Ba2Cu, as listed in Alexandria via LeMat-Bulk.

Properties
VASP energy ... -31.36 eV per atom
Magnetization ... 0.00 μB per formula unit
Theoretical density ... 4.15 g/cm³
V ... 45.12 A^3/atom

a = 4.6026 Å, b = 4.6026 Å, c = 7.3776 Å
α = 90.00°, β = 90.00°, γ = 120.00°
Last column: nearest neighbours and their distance in Å.
Positions (direct):
Ba 0.3333 0.6667 0.2333  3 Cu 3.17
Ba 0.6667 0.3333 0.7667  3 Cu 3.17
Cu 0.0000 0.0000 0.0000  6 Ba 3.17

First-principles (SCAN) data for a PBEsol-optimized structure of TaAlZn2, as listed in Alexandria via LeMat-Bulk.

Properties
VASP energy ... -25.35 eV per atom
Magnetization ... 0.00 μB per formula unit
Theoretical density ... 9.23 g/cm³
V ... 15.24 A^3/atom

a = 3.7590 Å, b = 3.7590 Å, c = 5.0682 Å
α = 111.77°, β = 111.77°, γ = 90.00°
Last column: nearest neighbours and their distance in Å.
Positions (direct):
Zn 0.0000 0.0000 0.0000  4 Al 2.66, 4 Ta 2.86, 4 Zn 2.86
Zn 0.7500 0.2500 0.5000  4 Ta 2.66, 4 Al 2.86, 4 Zn 2.86
Al 0.5000 0.5000 0.0000  8 Zn 2.66-2.86, 4 Ta 2.86
Ta 0.2500 0.7500 0.5000  8 Zn 2.66-2.86, 4 Al 2.86

First-principles (SCAN) data for a PBEsol-optimized structure of KBaCa2, as listed in Alexandria via LeMat-Bulk.

Properties
VASP energy ... -16.70 eV per atom
Magnetization ... 0.01 μB per formula unit
Theoretical density ... 2.14 g/cm³
V ... 49.78 A^3/atom

a = 3.9655 Å, b = 3.9655 Å, c = 13.4414 Å
α = 90.00°, β = 90.00°, γ = 109.59°
Last column: nearest neighbours and their distance in Å.
Positions (direct):
K 0.0000 0.0000 0.5102  4 K 3.97, 2 Ca 4.18, 2 Ba 4.42
Ca 0.0000 0.0000 0.9899  6 Ca 3.73-3.97, 2 Ba 3.95
Ca 0.5000 0.5000 0.7706  6 Ca 3.73-3.97
Ba 0.5000 0.5000 0.2292  2 Ca 3.95, 4 Ba 3.97, 2 K 4.42

First-principles (SCAN) data for a PBEsol-optimized structure of InReW, as listed in Alexandria via LeMat-Bulk.

Properties
VASP energy ... -57.14 eV per atom
Magnetization ... 0.00 μB per formula unit
Theoretical density ... 13.78 g/cm³
V ... 19.47 A^3/atom

a = 4.3551 Å, b = 4.3551 Å, c = 4.3551 Å
α = 60.00°, β = 60.00°, γ = 60.00°
Last column: nearest neighbours and their distance in Å.
Positions (direct):
In 0.0000 0.0000 0.0000  4 W 2.67
Re 0.5000 0.5000 0.5000  4 W 2.67
W 0.2500 0.2500 0.2500  4 In 2.67, 4 Re 2.67

First-principles (SCAN) data for a PBEsol-optimized structure of LiMnHg2, as listed in Alexandria via LeMat-Bulk.

Properties
VASP energy ... -39.42 eV per atom
Magnetization ... 4.28 μB per formula unit
Theoretical density ... 11.03 g/cm³
V ... 17.43 A^3/atom

a = 4.6198 Å, b = 4.6198 Å, c = 4.6198 Å
α = 60.00°, β = 60.00°, γ = 60.00°
Last column: nearest neighbours and their distance in Å.
Positions (direct):
Hg 0.0000 0.0000 0.0000  4 Hg 2.83, 4 Mn 2.83
Hg 0.7500 0.7500 0.7500  4 Hg 2.83, 4 Li 2.83
Li 0.5000 0.5000 0.5000  4 Mn 2.83, 4 Hg 2.83
Mn 0.2500 0.2500 0.2500  4 Li 2.83, 4 Hg 2.83

First-principles (SCAN) data for a PBEsol-optimized structure of BaHCl, as listed in Alexandria via LeMat-Bulk.

Properties
VASP energy ... -18.79 eV per atom
Magnetization ... 0.00 μB per formula unit
Theoretical density ... 4.30 g/cm³
V ... 22.39 A^3/atom

a = 4.3501 Å, b = 4.3501 Å, c = 7.0991 Å
α = 90.00°, β = 90.00°, γ = 90.00°
Last column: nearest neighbours and their distance in Å.
Positions (direct):
H 0.5000 0.5000 0.0000  4 Ba 2.63
H 0.0000 0.0000 0.0000  4 Ba 2.63
Ba 0.0000 0.5000 0.7917  4 H 2.63
Ba 0.5000 0.0000 0.2083  4 H 2.63
Cl 0.5000 0.0000 0.6564  5 Ba 3.18-3.22, 4 H 3.27
Cl 0.0000 0.5000 0.3436  5 Ba 3.18-3.22, 4 H 3.27

First-principles (SCAN) data for a PBEsol-optimized structure of AlCoSb2Br, as listed in Alexandria via LeMat-Bulk.

Properties
VASP energy ... -22.67 eV per atom
Magnetization ... 1.40 μB per formula unit
Theoretical density ... 5.24 g/cm³
V ... 25.94 A^3/atom

a = 4.1798 Å, b = 5.5699 Å, c = 5.5699 Å
α = 90.00°, β = 90.00°, γ = 90.00°
Last column: nearest neighbours and their distance in Å.
Positions (direct):
Sb 0.0000 0.0000 0.5000  2 Br 2.78
Sb 0.0000 0.5000 0.0000  2 Br 2.78
Co 0.5000 0.0000 0.0000  2 Br 2.09
Al 0.5000 0.5000 0.5000  8 Sb 3.48
Br 0.0000 0.0000 0.0000  2 Co 2.09

First-principles (SCAN) data for a PBEsol-optimized structure of CoSeCl2, as listed in Alexandria via LeMat-Bulk.

Properties
VASP energy ... -13.28 eV per atom
Magnetization ... 2.31 μB per formula unit
Theoretical density ... 4.58 g/cm³
V ... 18.92 A^3/atom

a = 4.6378 Å, b = 4.6378 Å, c = 4.6378 Å
α = 101.45°, β = 113.63°, γ = 113.63°
Last column: nearest neighbours and their distance in Å.
Positions (direct):
Co 0.0000 0.0000 0.0000  4 Cl 2.54
Se 0.0000 0.5000 0.5000  4 Cl 2.54
Cl 0.5000 0.0000 0.5000  2 Se 2.54, 2 Co 2.54
Cl 0.5000 0.5000 0.0000  2 Co 2.54, 2 Se 2.54

First-principles (SCAN) data for a PBEsol-optimized structure of MnAgHg2, as listed in Alexandria via LeMat-Bulk.

Properties
VASP energy ... -46.49 eV per atom
Magnetization ... 4.12 μB per formula unit
Theoretical density ... 13.18 g/cm³
V ... 17.77 A^3/atom

a = 3.0898 Å, b = 3.0866 Å, c = 7.4519 Å
α = 90.00°, β = 90.00°, γ = 90.00°
Last column: nearest neighbours and their distance in Å.
Positions (direct):
Ag 0.5000 0.5000 0.5000  8 Hg 2.92, 4 Ag 3.09
Hg 0.0000 0.0000 0.7611  4 Mn 2.82, 4 Ag 2.92, 4 Hg 3.09
Hg 0.0000 0.0000 0.2389  4 Mn 2.82, 4 Ag 2.92, 4 Hg 3.09
Mn 0.5000 0.5000 0.0000  8 Hg 2.82, 4 Mn 3.09

First-principles (SCAN) data for a PBEsol-optimized structure of KTl2Si, as listed in Alexandria via LeMat-Bulk.

Properties
VASP energy ... -40.55 eV per atom
Magnetization ... 0.00 μB per formula unit
Theoretical density ... 7.59 g/cm³
V ... 26.02 A^3/atom

a = 5.2798 Å, b = 5.2798 Å, c = 5.2798 Å
α = 60.00°, β = 60.00°, γ = 60.00°
Last column: nearest neighbours and their distance in Å.
Positions (direct):
K 0.5000 0.5000 0.5000  8 Tl 3.23
Si 0.0000 0.0000 0.0000  8 Tl 3.23
Tl 0.7500 0.7500 0.7500  4 Si 3.23, 4 K 3.23
Tl 0.2500 0.2500 0.2500  4 K 3.23, 4 Si 3.23